Entry 1:
The following is a PBE calculation of a geometry-optimized Tb2Pm8Y3 structure, from Alexandria.

Values from the calculation:
E_form	0.207	eV/atom
ΔE to the lowest computed polymorph	144.2	meV/atom
volume	34.8	A^3/atom
total magnetization	0.000	μB/f.u.

abc: 7.7148 5.7248 10.9310
angles: 90.00 110.65 90.00
With the nearest neighbours (Å) after each atom.
Space group P2/m (No. 10)
One atom of each set of equivalent atoms:
1 Tb 0.2397 0.0000 0.4810 x2  8 Pm 3.38-3.61
2 Pm 0.1327 0.5000 0.2654 x2  2 Y 3.49, 2 Tb 3.61, 4 Pm 3.69
3 Pm 0.1882 0.0000 0.7873 x2  1 Y 3.15, 1 Pm 3.17, 1 Tb 3.51
4 Pm 0.3279 0.5000 0.6559 x2  2 Tb 3.38, 4 Pm 3.54
5 Pm 0.4006 0.0000 0.2130 x2  1 Y 3.15, 1 Pm 3.17, 1 Tb 3.51
6 Y 0.0000 0.0000 0.0000 x1  4 Pm 3.15
7 Y 0.2850 0.5000 0.0001 x2  3 Y 3.32-3.61, 6 Pm 3.49-3.60

---

Entry 2:
The following is a PBE calculation of a geometry-optimized Na2CeSmS4 structure, from Alexandria.

Values from the calculation:
ΔE_f (raw)	-14.18	eV/f.u.
volume	24.4	A^3/atom
total magnetization	1.010	μB/f.u.

abc: 7.0775 4.1118 7.1162
angles: 90.00 109.56 90.00
With the nearest neighbours (Å) after each atom.
Space group P2/m (No. 10)
One atom of each set of equivalent atoms:
1 Na 0.0000 0.0000 0.0000 x1  6 S 2.96
2 Na 0.0000 0.5000 0.5000 x1  6 S 2.98
3 Ce 0.5000 0.0000 0.5000 x1  6 S 2.84
4 Sm 0.5000 0.5000 0.0000 x1  6 S 2.82-2.83
5 S 0.2684 0.0000 0.7584 x2  2 Sm 2.83, 1 Ce 2.84, 3 Na 2.96-2.98
6 S 0.2677 0.5000 0.2538 x2  1 Sm 2.82, 2 Ce 2.84, 3 Na 2.96-2.98

---

Entry 3:
The following is a PBE calculation of a geometry-optimized RbSrCl2 structure, from Alexandria.

Values from the calculation:
ΔE to the lowest computed polymorph	343.9	meV/atom
ΔE_f (raw)	-5.80	eV/f.u.
volume	32.4	A^3/atom
total magnetization	0.520	μB/f.u.

abc: 8.0301 8.0301 8.0301
angles: 90.00 90.00 90.00
With the nearest neighbours (Å) after each atom.
Space group Fm-3m (No. 225)
One atom of each set of equivalent atoms:
1 Rb 0.0000 0.0000 0.0000 x4  8 Cl 3.48
2 Sr 0.0000 0.0000 0.5000 x4  8 Cl 3.48
3 Cl 0.2500 0.2500 0.2500 x8  4 Rb 3.48, 4 Sr 3.48